Model w:
! Th12TlTc6 (PBE, relaxed); values from VASP
! Calculated volume, Å³/atom: 27.59
! Density of states at the Fermi level, states/eV/f.u.: 18.5
&SYSTEM
  ibrav = 0, nat = 19, ntyp = 3
/
ATOMIC_SPECIES
Tc 98.00 Tc.upf
Th 232.04 Th.upf
Tl 204.38 Tl.upf
CELL_PARAMETERS angstrom
-1.5010 -6.7754 -5.4083
1.2295 -2.9944 8.1811
-6.9144 5.4391 -0.1240
ATOMIC_POSITIONS angstrom
Tc -1.3268 -5.0740 0.6034
Tc -5.0123 -0.3222 -1.6258
Th -2.6279 -2.2214 -1.1802
Tc -4.3050 -4.1703 -1.7722
Th -1.6814 -5.7788 -1.9144
Th -1.2977 -1.5916 5.9723
Tl 0.0000 0.0000 0.0000
Tc -5.8591 0.7433 2.0454
Tc -2.1736 -4.0086 4.2746
Th -3.8838 -4.8316 1.2071
Th -5.9432 1.9932 -0.7691
Th -5.8882 -2.7391 -3.3235
Tc -2.8809 -0.1604 4.4210
Th -6.0483 -1.7917 0.3051
Th -3.3021 0.5009 1.4417
Th -1.2427 -6.3240 3.4179
Th -5.5045 1.4480 4.5631
Th -4.5580 -2.1093 3.8290
Th -1.1376 -2.5390 2.3437

Model x:
! Th12TlTc6 (PBE, relaxed); values from VASP
! Calculated volume, Å³/atom: 29.75
! Density of states at the Fermi level, states/eV/f.u.: 18.1
&SYSTEM
  ibrav = 0, nat = 19, ntyp = 3
/
ATOMIC_SPECIES
Th 232.04 Th.upf
Tc 98.00 Tc.upf
Tl 204.38 Tl.upf
CELL_PARAMETERS angstrom
8.5981 0.0133 0.0188
-2.1184 8.3330 0.0188
-2.1184 -2.7287 7.8736
ATOMIC_POSITIONS angstrom
Th 6.1212 3.8171 1.0673
Th -1.7599 5.8681 3.9556
Tc 4.5383 1.2908 1.8178
Th 2.5049 3.2265 1.4868
Th 2.5049 0.3403 3.5363
Th 2.1806 -1.2587 6.8439
Tl 0.0000 0.0000 0.0000
Tc 0.1255 0.1617 5.0522
Th -1.7599 1.8005 6.8439
Tc 0.1255 4.7166 1.8178
Th 6.1212 -0.2504 3.9556
Th 1.8563 5.2774 4.3749
Tc 4.2357 5.4559 2.8590
Tc 4.2357 0.9010 6.0934
Tc -0.1770 4.3268 6.0934
Th 1.8563 2.3911 6.4244
Th 4.6525 3.1066 4.3749
Th 2.1806 6.8763 1.0673
Th -0.2913 2.5111 3.5363

Stability summary - winner: model w; margin: 11.6 kJ/mol of atoms.

Model w:
! Th3TlTc2 (PBE, relaxed); values from VASP
! Calculated volume, Å³/atom: 26.41
! Density of states at the Fermi level, states/eV/f.u.: 4.6
&SYSTEM
  ibrav = 0, nat = 12, ntyp = 3
/
ATOMIC_SPECIES
Th 232.04 Th.upf
Tl 204.38 Tl.upf
Tc 98.00 Tc.upf
CELL_PARAMETERS angstrom
-1.6947 -2.9078 -2.6289
-0.1940 -5.3058 5.9939
-8.5026 2.8908 2.2837
ATOMIC_POSITIONS angstrom
Th -3.1451 -4.4830 3.5173
Tl -8.2174 -2.2523 7.7886
Tc -2.3653 -4.3516 6.3382
Th -3.8727 -0.5696 3.1265
Th -7.2304 -0.4082 1.6437
Th -8.0897 -2.4886 4.4988
Tc -4.7138 -0.6264 0.2627
Th -2.2632 -1.7836 -0.0370
Tl -0.5527 -2.1723 2.7591
Th -4.8632 -2.9187 6.3635
Tc -6.4127 -0.2897 4.4544
Tc -5.6157 -3.0056 3.4758

Model x:
! Th3TlTc2 (PBE, relaxed); values from VASP
! Calculated volume, Å³/atom: 26.00
! Density of states at the Fermi level, states/eV/f.u.: 5.7
&SYSTEM
  ibrav = 0, nat = 12, ntyp = 3
/
ATOMIC_SPECIES
Tc 98.00 Tc.upf
Th 232.04 Th.upf
Tl 204.38 Tl.upf
CELL_PARAMETERS angstrom
-2.4303 -3.8099 -1.5759
7.3523 -3.6586 -2.4934
-0.0714 -0.3743 8.2824
ATOMIC_POSITIONS angstrom
Tc 3.8746 -7.0066 3.6967
Tc 1.3356 -4.9778 2.7075
Th 3.5831 -4.0724 4.3198
Tc 3.5151 -2.8650 1.5056
Th -0.1581 -4.9269 4.8878
Th 0.9499 -1.8576 3.0261
Tl -0.8527 -1.9370 5.9979
Tc 0.9761 -0.8363 0.5165
Th 5.0087 -2.9159 -0.6747
Tl 5.7033 -5.9059 -1.7848
Th 3.9008 -5.9852 1.1870
Th 1.2676 -3.7704 -0.1066

Stability summary - winner: model w; margin: 3.3 kJ/mol of atoms.

Model w:
! TmThTc2 (PBE, relaxed); values from VASP
! Calculated volume, Å³/atom: 21.60
! Density of states at the Fermi level, states/eV/f.u.: 3.0
&SYSTEM
  ibrav = 0, nat = 4, ntyp = 3
/
ATOMIC_SPECIES
Tc 98.00 Tc.upf
Tm 168.93 Tm.upf
Th 232.04 Th.upf
CELL_PARAMETERS angstrom
3.4459 0.0000 0.0000
1.7230 2.9843 0.0000
1.7230 0.9948 8.4026
ATOMIC_POSITIONS angstrom
Tc 5.1689 2.9842 6.1959
Tm 0.0000 0.0000 0.0000
Tc 1.7230 0.9948 2.2067
Th 3.4459 1.9895 4.2013

Model x:
! TmThTc2 (PBE, relaxed); values from VASP
! Calculated volume, Å³/atom: 20.82
! Density of states at the Fermi level, states/eV/f.u.: 5.5
&SYSTEM
  ibrav = 0, nat = 4, ntyp = 3
/
ATOMIC_SPECIES
Th 232.04 Th.upf
Tm 168.93 Tm.upf
Tc 98.00 Tc.upf
CELL_PARAMETERS angstrom
3.4766 0.0000 0.0000
0.0000 3.4766 0.0000
0.0000 0.0000 6.8893
ATOMIC_POSITIONS angstrom
Th 1.7383 1.7383 0.0000
Tm 1.7383 1.7383 3.4447
Tc 0.0000 0.0000 1.6280
Tc 0.0000 0.0000 5.2613

Model y:
! TmThTc2 (PBE, relaxed); values from VASP
! Calculated volume, Å³/atom: 20.59
! Density of states at the Fermi level, states/eV/f.u.: 3.7
&SYSTEM
  ibrav = 0, nat = 4, ntyp = 3
/
ATOMIC_SPECIES
Tc 98.00 Tc.upf
Th 232.04 Th.upf
Tm 168.93 Tm.upf
CELL_PARAMETERS angstrom
-2.0929 -0.5201 4.3813
-1.0970 -4.4564 1.6683
2.5388 -1.9127 3.7071
ATOMIC_POSITIONS angstrom
Tc -0.4884 -5.1669 7.3175
Th 0.0000 0.0000 0.0000
Tc -0.1628 -1.7223 2.4392
Tm -0.3256 -3.4446 4.8784

Stability summary - winner: model y; margin: 4.1 kJ/mol of atoms.